# 1
Density functional theory data (meta-GGA SCAN) for RbBaIO2 at its PBEsol-relaxed geometry.

Computed properties:
Formation energy (no corrections)   -0.7992 eV per atom
Space-group type   P4/mmm, No. 123

a = 4.959 Å, b = 4.959 Å, c = 6.273 Å
α = 90.00°, β = 90.00°, γ = 90.00°
Site moments in Bohr magnetons follow the coordinates.
Positions (direct):
I  0.000  0.000  0.500  0.00
O  0.000  0.500  0.000  0.79
O  0.500  0.000  0.000  0.79
Ba  0.500  0.500  0.500  -0.01
Rb  0.000  0.000  0.000  0.12



# 2
Density functional theory data (meta-GGA SCAN) for RbBaIO2 at its PBEsol-relaxed geometry.

Computed properties:
Formation energy (no corrections)   -1.2356 eV per atom
Space-group type   P4/mmm, No. 123

a = 5.002 Å, b = 5.002 Å, c = 7.016 Å
α = 90.00°, β = 90.00°, γ = 90.00°
Site moments in Bohr magnetons follow the coordinates.
Positions (direct):
I  0.000  0.000  0.500  0.00
O  0.000  0.500  0.000  0.82
O  0.500  0.000  0.000  0.82
Ba  0.000  0.000  0.000  0.02
Rb  0.500  0.500  0.500  0.00



# 3
Density functional theory data (meta-GGA SCAN) for BaSbI2O at its PBEsol-relaxed geometry.

Computed properties:
Formation energy (no corrections)   -0.8005 eV per atom
Space-group type   P4/mmm, No. 123

a = 4.066 Å, b = 6.223 Å, c = 6.223 Å
α = 90.00°, β = 90.00°, γ = 90.00°
Positions (direct):
I  0.000  0.000  0.500
I  0.000  0.500  0.000
Sb  0.500  0.000  0.000
Ba  0.500  0.500  0.500
O  0.000  0.000  0.000



# 4
Density functional theory data (meta-GGA SCAN) for BaTeOsI2 at its PBEsol-relaxed geometry.

Computed properties:
Formation energy (no corrections)   0.9308 eV per atom
Space-group type   P4/mmm, No. 123

a = 6.466 Å, b = 6.466 Å, c = 6.634 Å
α = 90.00°, β = 90.00°, γ = 90.00°
Site moments in Bohr magnetons follow the coordinates.
Positions (direct):
I  0.000  0.500  0.000  0.08
I  0.500  0.000  0.000  0.08
Te  0.000  0.000  0.500  0.70
Os  0.500  0.500  0.500  3.40
Ba  0.000  0.000  0.000  0.00



# 5
Density functional theory data (meta-GGA SCAN) for BaSbPI2 at its PBEsol-relaxed geometry.

Computed properties:
Formation energy (no corrections)   -0.4225 eV per atom
Space-group type   P4/mmm, No. 123

a = 5.524 Å, b = 5.524 Å, c = 5.386 Å
α = 90.00°, β = 90.00°, γ = 90.00°
Positions (direct):
I  0.000  0.500  0.000
I  0.500  0.000  0.000
Sb  0.000  0.000  0.500
Ba  0.500  0.500  0.500
P  0.000  0.000  0.000



# 6
Density functional theory data (meta-GGA SCAN) for BaSnP2I at its PBEsol-relaxed geometry.

Computed properties:
Formation energy (no corrections)   -0.0553 eV per atom
Space-group type   P4/mmm, No. 123

a = 4.986 Å, b = 4.986 Å, c = 6.919 Å
α = 90.00°, β = 90.00°, γ = 90.00°
Positions (direct):
I  0.500  0.500  0.500
P  0.000  0.500  0.000
P  0.500  0.000  0.000
Ba  0.000  0.000  0.500
Sn  0.000  0.000  0.000



| no. | E_tot (eV per atom) |
| --- | --- |
| 1 | -22.6979 |
| 2 | -23.1343 |
| 3 | -32.1055 |
| 4 | -43.5020 |
| 5 | -32.5610 |
| 6 | -26.6573 |